No. 1
! MgGa | Alexandria via LeMat-Bulk | PBE | optimized geometry; values from VASP
! crystal system	triclinic
! ΔE_f	-0.26	eV per formula unit
! density	4.03	g/cm3
! electronic total energy	-2.443	eV/atom
&SYSTEM
  ibrav = 0, nat = 8, ntyp = 2
/
ATOMIC_SPECIES
Mg 24.30 Mg.upf
Ga 69.72 Ga.upf
CELL_PARAMETERS angstrom
3.016 0.000 0.000
-0.001 5.044 0.000
-1.508 -0.307 10.187
ATOMIC_POSITIONS angstrom
Mg 0.000 1.722 1.396
Mg -0.001 4.368 3.666
Mg 1.509 0.369 6.521
Mg 1.507 3.015 8.791
Ga 0.001 2.916 6.213
Ga 0.000 0.515 9.094
Ga 1.508 4.222 1.093
Ga 1.506 1.821 3.974

---

No. 2
! BeRePb | Alexandria via LeMat-Bulk | PBE | optimized geometry; values from VASP
! crystal system	trigonal
! ΔE_f	2.57	eV per formula unit
! density	12.74	g/cm3
! electronic total energy	-5.772	eV/atom
&SYSTEM
  ibrav = 0, nat = 3, ntyp = 3
/
ATOMIC_SPECIES
Be 9.01 Be.upf
Re 186.21 Re.upf
Pb 207.20 Pb.upf
CELL_PARAMETERS angstrom
3.045 0.000 0.000
-1.523 2.637 0.000
0.000 0.000 6.533
ATOMIC_POSITIONS angstrom
Be 0.000 0.000 0.000
Re 0.000 1.758 4.934
Pb 1.523 0.879 2.480

---

No. 3
! PuZn3Hg3 | Alexandria via LeMat-Bulk | PBE | optimized geometry; values from VASP
! crystal system	cubic
! ΔE_f	2.44	eV per formula unit
! density	8.89	g/cm3
! electronic total energy	-2.374	eV/atom
&SYSTEM
  ibrav = 0, nat = 14, ntyp = 3
/
ATOMIC_SPECIES
Pu 244.00 Pu.upf
Zn 65.41 Zn.upf
Hg 200.59 Hg.upf
CELL_PARAMETERS angstrom
7.302 0.000 0.000
0.000 7.302 0.000
0.000 0.000 7.302
ATOMIC_POSITIONS angstrom
Pu 0.000 0.000 0.000
Pu 3.651 3.651 3.651
Zn 0.000 1.825 3.651
Zn 0.000 5.476 3.651
Zn 1.825 3.651 0.000
Zn 3.651 0.000 1.825
Zn 3.651 0.000 5.476
Zn 5.476 3.651 0.000
Hg 0.000 3.651 1.825
Hg 0.000 3.651 5.476
Hg 1.825 0.000 3.651
Hg 3.651 1.825 0.000
Hg 3.651 5.476 0.000
Hg 5.476 0.000 3.651

---

No. 4
! K2MnCr2S6 | Alexandria via LeMat-Bulk | PBE | optimized geometry; values from VASP
! ΔE_f (raw)	-9.60	eV per formula unit
! crystal system	monoclinic
! density	2.98	g/cm3
! electronic total energy	-5.907	eV/atom
&SYSTEM
  ibrav = 0, nat = 11, ntyp = 4
/
ATOMIC_SPECIES
K 39.10 K.upf
Mn 54.94 Mn.upf
Cr 52.00 Cr.upf
S 32.06 S.upf
CELL_PARAMETERS angstrom
3.068 -5.311 0.000
3.068 5.311 0.000
-2.073 0.000 7.349
ATOMIC_POSITIONS angstrom
K 3.068 3.532 0.000
K 3.068 -3.532 0.000
Mn -1.036 0.000 3.674
Cr 2.031 1.778 3.674
Cr 2.031 -1.778 3.674
S -0.023 1.739 4.944
S 0.990 0.000 2.404
S -0.023 -1.739 4.944
S 4.086 1.739 2.405
S 3.073 0.000 4.945
S 4.086 -1.739 2.405

---

No. 5
! LiAgP | Alexandria via LeMat-Bulk | PBE | optimized geometry; values from VASP
! crystal system	tetragonal
! ΔE_f	-0.38	eV per formula unit
! density	5.18	g/cm3
! electronic total energy	-3.519	eV/atom
&SYSTEM
  ibrav = 0, nat = 3, ntyp = 3
/
ATOMIC_SPECIES
Li 6.94 Li.upf
Ag 107.87 Ag.upf
P 30.97 P.upf
CELL_PARAMETERS angstrom
-1.734 1.734 3.883
1.734 -1.734 3.883
1.734 1.734 -3.883
ATOMIC_POSITIONS angstrom
Li 0.000 0.000 0.000
Ag 0.000 0.000 5.167
P 0.000 0.000 2.573

---

No. 6
! Mn2MoAu | Alexandria via LeMat-Bulk | PBE | optimized geometry; values from VASP
! crystal system	tetragonal
! ΔE_f	0.78	eV per formula unit
! density	11.70	g/cm3
! electronic total energy	-7.918	eV/atom
&SYSTEM
  ibrav = 0, nat = 4, ntyp = 3
/
ATOMIC_SPECIES
Mn 54.94 Mn.upf
Mo 95.94 Mo.upf
Au 196.97 Au.upf
CELL_PARAMETERS angstrom
4.001 0.000 0.000
0.000 4.001 0.000
0.000 0.000 3.570
ATOMIC_POSITIONS angstrom
Mn 0.000 2.001 0.000
Mn 2.001 0.000 0.000
Mo 0.000 0.000 1.785
Au 2.001 2.001 1.785

---

No. 7
! TcOs2Au | Alexandria via LeMat-Bulk | PBE | optimized geometry; values from VASP
! crystal system	trigonal
! ΔE_f	0.98	eV per formula unit
! density	18.31	g/cm3
! electronic total energy	-8.782	eV/atom
&SYSTEM
  ibrav = 0, nat = 4, ntyp = 3
/
ATOMIC_SPECIES
Tc 98.00 Tc.upf
Os 190.23 Os.upf
Au 196.97 Au.upf
CELL_PARAMETERS angstrom
1.381 0.798 9.270
-1.381 0.798 9.270
0.000 -1.595 9.270
ATOMIC_POSITIONS angstrom
Tc 0.000 0.000 0.000
Os 0.000 0.000 7.139
Os 0.000 0.000 20.670
Au 0.000 0.000 13.904

---

No. 8
! TaNbS2Cl | Alexandria via LeMat-Bulk | PBE | optimized geometry; values from VASP
! ΔE_f (raw)	1.02	eV per formula unit
! crystal system	tetragonal
! density	5.68	g/cm3
! electronic total energy	-6.200	eV/atom
&SYSTEM
  ibrav = 0, nat = 5, ntyp = 4
/
ATOMIC_SPECIES
Ta 180.95 Ta.upf
Nb 92.91 Nb.upf
S 32.06 S.upf
Cl 35.45 Cl.upf
CELL_PARAMETERS angstrom
4.826 0.000 0.000
0.000 4.826 0.000
0.000 0.000 4.688
ATOMIC_POSITIONS angstrom
Ta 0.000 0.000 0.000
Nb 2.413 2.413 2.344
S 0.000 2.413 0.000
S 2.413 0.000 0.000
Cl 0.000 0.000 2.344

---

No. 9
! PmAlAg2S4 | Alexandria via LeMat-Bulk | PBE | optimized geometry; values from VASP
! ΔE_f (raw)	-6.96	eV per formula unit
! crystal system	monoclinic
! density	5.14	g/cm3
! electronic total energy	-4.708	eV/atom
&SYSTEM
  ibrav = 0, nat = 16, ntyp = 4
/
ATOMIC_SPECIES
Pm 145.00 Pm.upf
Al 26.98 Al.upf
Ag 107.87 Ag.upf
S 32.06 S.upf
CELL_PARAMETERS angstrom
5.223 -5.649 0.000
5.223 5.649 0.000
-4.846 0.000 5.653
ATOMIC_POSITIONS angstrom
Pm 2.612 2.825 0.000
Pm 0.189 -2.825 2.826
Al 0.000 0.000 0.000
Al -2.423 0.000 2.826
Ag 0.189 2.825 2.826
Ag 2.612 -2.825 0.000
Ag 5.223 0.000 0.000
Ag 2.800 0.000 2.826
S 2.706 3.203 2.806
S -2.178 0.003 5.238
S 0.245 -0.003 2.412
S 5.318 3.203 0.021
S 0.283 -3.203 5.632
S 5.356 0.003 3.241
S 7.779 -0.003 0.415
S 2.895 -3.203 2.847

---

No. 10
! SbP3 | Alexandria via LeMat-Bulk | PBE | optimized geometry; values from VASP
! ΔE_f (raw)	1.50	eV per formula unit
! crystal system	hexagonal
! density	4.72	g/cm3
! electronic total energy	-4.713	eV/atom
&SYSTEM
  ibrav = 0, nat = 16, ntyp = 2
/
ATOMIC_SPECIES
Sb 121.76 Sb.upf
P 30.97 P.upf
CELL_PARAMETERS angstrom
7.233 0.000 0.000
-3.616 6.264 0.000
0.000 0.000 6.664
ATOMIC_POSITIONS angstrom
Sb 0.000 0.000 0.000
Sb 0.000 0.000 3.332
Sb 0.000 4.176 1.666
Sb 3.616 2.088 4.998
P -1.808 3.132 0.000
P -1.808 3.132 3.332
P 0.000 2.321 4.998
P -1.606 5.103 4.998
P 2.010 1.161 1.666
P 3.616 0.000 0.000
P 3.616 0.000 3.332
P 1.808 3.132 0.000
P 1.808 3.132 3.332
P 1.606 5.103 4.998
P 5.222 1.161 1.666
P 3.616 3.942 1.666

---

No. 11
! Tm6Ir5Pt | Alexandria via LeMat-Bulk | PBE | optimized geometry; values from VASP
! crystal system	orthorhombic
! ΔE_f	-11.80	eV per formula unit
! density	15.42	g/cm3
! electronic total energy	-7.415	eV/atom
&SYSTEM
  ibrav = 0, nat = 12, ntyp = 3
/
ATOMIC_SPECIES
Tm 168.93 Tm.upf
Ir 192.22 Ir.upf
Pt 195.08 Pt.upf
CELL_PARAMETERS angstrom
2.355 -7.063 0.000
2.355 7.063 0.000
0.000 0.000 7.022
ATOMIC_POSITIONS angstrom
Tm 0.000 0.000 1.734
Tm 0.000 0.000 5.288
Tm 2.355 2.376 1.748
Tm 2.355 2.376 5.274
Tm 2.355 -2.376 1.748
Tm 2.355 -2.376 5.274
Ir 2.355 4.713 0.000
Ir 2.355 4.710 3.511
Ir 2.355 0.000 0.000
Ir 2.355 -4.710 3.511
Ir 2.355 -4.713 0.000
Pt 2.355 0.000 3.511

---

No. 12
! Tb6Y3Sc2 | Alexandria via LeMat-Bulk | PBE | optimized geometry; values from VASP
! crystal system	monoclinic
! ΔE_f	2.29	eV per formula unit
! density	6.11	g/cm3
! electronic total energy	-5.232	eV/atom
&SYSTEM
  ibrav = 0, nat = 11, ntyp = 3
/
ATOMIC_SPECIES
Tb 158.93 Tb.upf
Y 88.91 Y.upf
Sc 44.96 Sc.upf
CELL_PARAMETERS angstrom
3.054 -5.293 0.000
3.054 5.293 0.000
-2.058 0.000 11.015
ATOMIC_POSITIONS angstrom
Tb -0.018 1.767 8.405
Tb 1.007 0.000 2.610
Tb -0.018 -1.767 8.405
Tb 4.068 1.767 2.610
Tb 3.044 0.000 8.405
Tb 4.068 -1.767 2.610
Y -1.029 0.000 5.508
Y 2.025 1.755 5.508
Y 2.025 -1.755 5.508
Sc 3.054 3.531 0.000
Sc 3.054 -3.531 0.000